(1)
# CePmBrN, optimized geometry, DFT GGA-PBE
data_CePmBrN
_chemical_formula_sum 'Ce3 Pm3 Br3 N3'
_cell_length_a 3.6560
_cell_length_b 3.6560
_cell_length_c 22.3392
_cell_angle_alpha 90.00
_cell_angle_beta 90.00
_cell_angle_gamma 120.00
_space_group_name_H-M_alt 'P 1'
_space_group_IT_number 1
loop_
_space_group_symop_operation_xyz
'x,y,z'
loop_
_atom_site_label
_atom_site_fract_x
_atom_site_fract_y
_atom_site_fract_z
Ce1 0.0000 0.0000 0.0000
Ce2 0.3333 0.6667 0.6667
Ce3 0.6667 0.3333 0.3333
Pm1 0.0000 0.0000 0.7876
Pm2 0.3333 0.6667 0.4543
Pm3 0.6667 0.3333 0.1209
Br1 0.0000 0.0000 0.5574
Br2 0.3333 0.6667 0.2241
Br3 0.6667 0.3333 0.8908
N1 0.0000 0.0000 0.3914
N2 0.3333 0.6667 0.0581
N3 0.6667 0.3333 0.7247
# Formation energy without anion corrections (eV/atom): -1.391


(2)
# InCu2B2, optimized geometry, DFT GGA-PBE
data_InCu2B2
_chemical_formula_sum 'In2 Cu4 B4'
_cell_length_a 2.8739
_cell_length_b 2.8739
_cell_length_c 14.6094
_cell_angle_alpha 90.00
_cell_angle_beta 90.00
_cell_angle_gamma 90.00
_space_group_name_H-M_alt 'P 1'
_space_group_IT_number 1
loop_
_space_group_symop_operation_xyz
'x,y,z'
loop_
_atom_site_label
_atom_site_fract_x
_atom_site_fract_y
_atom_site_fract_z
In1 0.0000 0.0000 0.0000
In2 0.5000 0.5000 0.5000
Cu1 0.0000 0.0000 0.3592
Cu2 0.0000 0.0000 0.6408
Cu3 0.5000 0.5000 0.1408
Cu4 0.5000 0.5000 0.8592
B1 0.0000 0.5000 0.2500
B2 0.0000 0.5000 0.7500
B3 0.5000 0.0000 0.2500
B4 0.5000 0.0000 0.7500
# Energy above the lowest structure with this stoichiometry (meV/atom): 0
# Energy of formation (eV per atom): 0.510


(3)
# Al2TlSe, optimized geometry, DFT GGA-PBE
data_Al2TlSe
_chemical_formula_sum 'Al2 Tl1 Se1'
_cell_length_a 3.6052
_cell_length_b 3.6052
_cell_length_c 7.3211
_cell_angle_alpha 90.00
_cell_angle_beta 90.00
_cell_angle_gamma 90.00
_space_group_name_H-M_alt 'P 1'
_space_group_IT_number 1
loop_
_space_group_symop_operation_xyz
'x,y,z'
loop_
_atom_site_label
_atom_site_fract_x
_atom_site_fract_y
_atom_site_fract_z
Al1 0.0000 0.0000 0.0000
Al2 0.5000 0.5000 0.2089
Tl1 0.5000 0.5000 0.7517
Se1 0.0000 0.0000 0.3506
# Formation energy without anion corrections (eV/atom): -0.071
# Energy above the lowest structure with this stoichiometry (meV/atom): 50


(4)
# PrSm3Y7, optimized geometry, DFT GGA-PBE
data_PrSm3Y7
_chemical_formula_sum 'Pr1 Sm3 Y7'
_cell_length_a 7.1353
_cell_length_b 7.1353
_cell_length_c 8.7193
_cell_angle_alpha 90.00
_cell_angle_beta 90.00
_cell_angle_gamma 120.00
_space_group_name_H-M_alt 'P 1'
_space_group_IT_number 1
loop_
_space_group_symop_operation_xyz
'x,y,z'
loop_
_atom_site_label
_atom_site_fract_x
_atom_site_fract_y
_atom_site_fract_z
Pr1 0.0000 0.0000 0.0000
Sm1 0.3340 0.1670 0.3365
Sm2 0.8330 0.1670 0.3365
Sm3 0.8330 0.6660 0.3365
Y1 0.1660 0.3320 0.6699
Y2 0.1660 0.8340 0.6699
Y3 0.5009 0.0019 0.9995
Y4 0.5009 0.4991 0.9995
Y5 0.6667 0.3333 0.6713
Y6 0.6680 0.8340 0.6699
Y7 0.9981 0.4991 0.9995
# Energy above the lowest structure with this stoichiometry (meV/atom): 49
# Energy of formation (eV per atom): 0.188


(5)
# BaSbTe2Mo, optimized geometry, DFT GGA-PBE
data_BaSbTe2Mo
_chemical_formula_sum 'Ba1 Sb1 Te2 Mo1'
_cell_length_a 6.4037
_cell_length_b 6.4037
_cell_length_c 6.3317
_cell_angle_alpha 90.00
_cell_angle_beta 90.00
_cell_angle_gamma 90.00
_space_group_name_H-M_alt 'P 1'
_space_group_IT_number 1
loop_
_space_group_symop_operation_xyz
'x,y,z'
loop_
_atom_site_label
_atom_site_fract_x
_atom_site_fract_y
_atom_site_fract_z
Ba1 0.0000 0.0000 0.0000
Sb1 0.0000 0.0000 0.5000
Te1 0.0000 0.5000 0.0000
Te2 0.5000 0.0000 0.0000
Mo1 0.5000 0.5000 0.5000
# Formation energy without anion corrections (eV/atom): 1.325
# Energy above the lowest structure with this stoichiometry (meV/atom): 1612


(6)
# BeHgRh2, optimized geometry, DFT GGA-PBE
data_BeHgRh2
_chemical_formula_sum 'Be2 Hg2 Rh4'
_cell_length_a 9.6844
_cell_length_b 2.8978
_cell_length_c 4.5900
_cell_angle_alpha 90.00
_cell_angle_beta 118.06
_cell_angle_gamma 90.00
_space_group_name_H-M_alt 'P 1'
_space_group_IT_number 1
loop_
_space_group_symop_operation_xyz
'x,y,z'
loop_
_atom_site_label
_atom_site_fract_x
_atom_site_fract_y
_atom_site_fract_z
Be1 0.0000 0.0000 0.0000
Be2 0.5000 0.5000 0.0000
Hg1 0.0000 0.5000 0.5000
Hg2 0.5000 0.0000 0.5000
Rh1 0.2089 0.5000 0.2086
Rh2 0.2911 0.0000 0.7914
Rh3 0.7089 0.0000 0.2086
Rh4 0.7911 0.5000 0.7914
# Energy above the lowest structure with this stoichiometry (meV/atom): 102
# Energy of formation (eV per atom): -0.049


(7)
# ZrAg2Pb, optimized geometry, DFT GGA-PBE
data_ZrAg2Pb
_chemical_formula_sum 'Zr1 Ag2 Pb1'
_cell_length_a 3.0838
_cell_length_b 4.9166
_cell_length_c 5.7595
_cell_angle_alpha 90.00
_cell_angle_beta 91.85
_cell_angle_gamma 90.00
_space_group_name_H-M_alt 'P 1'
_space_group_IT_number 1
loop_
_space_group_symop_operation_xyz
'x,y,z'
loop_
_atom_site_label
_atom_site_fract_x
_atom_site_fract_y
_atom_site_fract_z
Zr1 0.0000 0.0000 0.0000
Ag1 0.4707 0.5000 0.7671
Ag2 0.5293 0.5000 0.2329
Pb1 0.5000 0.0000 0.5000
# Energy of formation (eV per atom): 0.033


(8)
# AcLaDyEr2, optimized geometry, DFT GGA-PBE
data_AcLaDyEr2
_chemical_formula_sum 'Ac2 La2 Dy2 Er4'
_cell_length_a 6.3960
_cell_length_b 5.8644
_cell_length_c 9.8244
_cell_angle_alpha 90.00
_cell_angle_beta 108.88
_cell_angle_gamma 90.00
_space_group_name_H-M_alt 'P 1'
_space_group_IT_number 1
loop_
_space_group_symop_operation_xyz
'x,y,z'
loop_
_atom_site_label
_atom_site_fract_x
_atom_site_fract_y
_atom_site_fract_z
Ac1 0.0702 0.2500 0.3045
Ac2 0.9298 0.7500 0.6955
La1 0.1392 0.7500 0.0981
La2 0.8608 0.2500 0.9019
Dy1 0.3365 0.7500 0.5038
Dy2 0.6635 0.2500 0.4962
Er1 0.2781 0.2500 0.7047
Er2 0.4680 0.2500 0.0972
Er3 0.5320 0.7500 0.9028
Er4 0.7219 0.7500 0.2953
# Energy of formation (eV per atom): 0.048


(9)
# Ho3Mg2Ag2, optimized geometry, DFT GGA-PBE
data_Ho3Mg2Ag2
_chemical_formula_sum 'Ho6 Mg4 Ag4'
_cell_length_a 3.5398
_cell_length_b 29.1081
_cell_length_c 3.4892
_cell_angle_alpha 90.00
_cell_angle_beta 90.00
_cell_angle_gamma 90.00
_space_group_name_H-M_alt 'P 1'
_space_group_IT_number 1
loop_
_space_group_symop_operation_xyz
'x,y,z'
loop_
_atom_site_label
_atom_site_fract_x
_atom_site_fract_y
_atom_site_fract_z
Ho1 0.0000 0.0000 0.0000
Ho2 0.0000 0.1282 0.0000
Ho3 0.0000 0.8718 0.0000
Ho4 0.5000 0.3718 0.0000
Ho5 0.5000 0.5000 0.0000
Ho6 0.5000 0.6282 0.0000
Mg1 0.0000 0.2933 0.5000
Mg2 0.0000 0.7067 0.5000
Mg3 0.5000 0.2067 0.5000
Mg4 0.5000 0.7933 0.5000
Ag1 0.0000 0.4354 0.5000
Ag2 0.0000 0.5646 0.5000
Ag3 0.5000 0.0646 0.5000
Ag4 0.5000 0.9354 0.5000
# Energy of formation (eV per atom): -0.139


(10)
# BeZnPb2, optimized geometry, DFT GGA-PBE
data_BeZnPb2
_chemical_formula_sum 'Be2 Zn2 Pb4'
_cell_length_a 7.2969
_cell_length_b 3.7545
_cell_length_c 7.0887
_cell_angle_alpha 90.00
_cell_angle_beta 107.51
_cell_angle_gamma 90.00
_space_group_name_H-M_alt 'P 1'
_space_group_IT_number 1
loop_
_space_group_symop_operation_xyz
'x,y,z'
loop_
_atom_site_label
_atom_site_fract_x
_atom_site_fract_y
_atom_site_fract_z
Be1 0.0000 0.0000 0.0000
Be2 0.5000 0.5000 0.0000
Zn1 0.0000 0.5000 0.5000
Zn2 0.5000 0.0000 0.5000
Pb1 0.2374 0.5000 0.2115
Pb2 0.2626 0.0000 0.7885
Pb3 0.7373 0.0000 0.2115
Pb4 0.7627 0.5000 0.7885
# Energy above the lowest structure with this stoichiometry (meV/atom): 212
# Energy of formation (eV per atom): 0.434


(11)
# SbRu3Cl, optimized geometry, DFT GGA-PBE
data_SbRu3Cl
_chemical_formula_sum 'Sb1 Ru3 Cl1'
_cell_length_a 4.9564
_cell_length_b 4.9564
_cell_length_c 4.9564
_cell_angle_alpha 90.00
_cell_angle_beta 90.00
_cell_angle_gamma 90.00
_space_group_name_H-M_alt 'P 1'
_space_group_IT_number 1
loop_
_space_group_symop_operation_xyz
'x,y,z'
loop_
_atom_site_label
_atom_site_fract_x
_atom_site_fract_y
_atom_site_fract_z
Sb1 0.0000 0.0000 0.0000
Ru1 0.0000 0.0000 0.5000
Ru2 0.0000 0.5000 0.0000
Ru3 0.5000 0.0000 0.0000
Cl1 0.5000 0.5000 0.5000
# Formation energy without anion corrections (eV/atom): 1.677
# Energy above the lowest structure with this stoichiometry (meV/atom): 602


(12)
# NdMgZn, optimized geometry, DFT GGA-PBE
data_NdMgZn
_chemical_formula_sum 'Nd1 Mg1 Zn1'
_cell_length_a 4.9409
_cell_length_b 4.9409
_cell_length_c 3.4308
_cell_angle_alpha 90.00
_cell_angle_beta 90.00
_cell_angle_gamma 120.00
_space_group_name_H-M_alt 'P 1'
_space_group_IT_number 1
loop_
_space_group_symop_operation_xyz
'x,y,z'
loop_
_atom_site_label
_atom_site_fract_x
_atom_site_fract_y
_atom_site_fract_z
Nd1 0.0000 0.0000 0.0000
Mg1 0.3333 0.6667 0.5000
Zn1 0.6667 0.3333 0.5000
# Energy of formation (eV per atom): -0.186


Number 1: total DFT energy (no corrections) -6.56 eV/atom, M_tot 1.04 μB/f.u.. Number 2: total DFT energy (no corrections) -4.35 eV/atom, M_tot 0.00 μB/f.u.. Number 3: total DFT energy (no corrections) -3.41 eV/atom, M_tot 0.00 μB/f.u.. Number 4: total DFT energy (no corrections) -5.65 eV/atom, M_tot 0.00 μB/f.u.. Number 5: total DFT energy (no corrections) -3.31 eV/atom, M_tot 2.81 μB/f.u.. Number 6: total DFT energy (no corrections) -4.73 eV/atom, M_tot 0.00 μB/f.u.. Number 7: total DFT energy (no corrections) -4.46 eV/atom, M_tot 0.00 μB/f.u.. Number 8: total DFT energy (no corrections) -4.50 eV/atom, M_tot 0.00 μB/f.u.. Number 9: total DFT energy (no corrections) -3.37 eV/atom, M_tot 0.00 μB/f.u.. Number 10: total DFT energy (no corrections) -2.67 eV/atom, M_tot 0.00 μB/f.u.. Number 11: total DFT energy (no corrections) -5.08 eV/atom, M_tot 5.21 μB/f.u.. Number 12: total DFT energy (no corrections) -2.73 eV/atom, M_tot 0.00 μB/f.u..